# 1
DFT (GGA-PBE) results for CaPr2Pt after structural relaxation.

E_tot: -4.76 eV/atom
Formation energy from the elements: -358.0 meV per atom
ρ: 5.5 g/cm³

Unit cell a=4.049 b=4.049 c=11.148 alpha=79.54 beta=79.54 gamma=60.00
Atoms (fractional coordinates):
Pr: 0.115 0.115 0.656
Pr: 0.885 0.885 0.344
Ca: 0.000 0.000 0.000
Pt: 0.500 0.500 0.500

=====

# 2
DFT (GGA-PBE) results for ScTcAsC2 after structural relaxation.

E_tot: -5.74 eV/atom
Formation energy from the elements: 2222.0 meV per atom
ρ: 4.7 g/cm³

Unit cell a=4.101 b=5.136 c=4.101 alpha=90.00 beta=90.00 gamma=90.00
Each line ends with the local moment (μB).
Atoms (fractional coordinates):
Sc: 0.000 0.000 0.000  -0.06
C: 0.000 0.000 0.500  -0.07
C: 0.500 0.000 0.000  -0.04
As: 0.500 0.500 0.500  -0.04
Tc: 0.000 0.500 0.000  1.38

=====

# 3
DFT (GGA-PBE) results for CaDyBr5 after structural relaxation.

E_tot: -4.00 eV/atom
Formation energy from raw total energies: -1.87 eV/atom
ρ: 3.6 g/cm³

Unit cell a=7.518 b=7.518 c=11.134 alpha=106.26 beta=108.83 gamma=96.15
Atoms (fractional coordinates):
Ca: 0.677 0.927 0.250
Ca: 0.323 0.073 0.750
Dy: 0.000 0.000 0.000
Dy: 0.000 0.500 0.500
Br: 0.269 0.837 0.144
Br: 0.260 0.790 0.499
Br: 0.307 0.376 0.644
Br: 0.978 0.228 0.250
Br: 0.292 0.262 0.001
Br: 0.708 0.738 0.999
Br: 0.022 0.772 0.750
Br: 0.693 0.624 0.356
Br: 0.740 0.210 0.501
Br: 0.731 0.163 0.856

=====

# 4
DFT (GGA-PBE) results for AlCu2 after structural relaxation.

E_tot: -3.82 eV/atom
Formation energy from the elements: 160.5 meV per atom
ρ: 5.5 g/cm³

Unit cell a=4.025 b=4.025 c=4.025 alpha=60.00 beta=60.00 gamma=60.00
Atoms (fractional coordinates):
Al: 0.000 0.000 0.000
Cu: 0.750 0.750 0.750
Cu: 0.250 0.250 0.250

=====

# 5
DFT (GGA-PBE) results for ZrAl2Cu after structural relaxation.

E_tot: -5.36 eV/atom
Formation energy from the elements: -324.0 meV per atom
ρ: 5.2 g/cm³

Unit cell a=3.952 b=5.221 c=6.485 alpha=90.00 beta=90.00 gamma=90.00
Atoms (fractional coordinates):
Zr: 0.000 0.250 0.697
Zr: 0.000 0.750 0.303
Al: 0.500 0.000 0.000
Al: 0.500 0.500 0.000
Al: 0.500 0.250 0.381
Al: 0.500 0.750 0.619
Cu: 0.000 0.250 0.150
Cu: 0.000 0.750 0.850

=====

# 6
DFT (GGA-PBE) results for Ba4FePt after structural relaxation.

E_tot: -2.72 eV/atom
Formation energy from the elements: 975.2 meV per atom
ρ: 5.8 g/cm³

Unit cell a=6.870 b=6.870 c=6.870 alpha=60.00 beta=60.00 gamma=60.00
Each line ends with the local moment (μB).
Atoms (fractional coordinates):
Ba: 0.877 0.374 0.374  -0.10
Ba: 0.374 0.374 0.877  -0.10
Ba: 0.374 0.877 0.374  -0.10
Ba: 0.374 0.374 0.374  -0.10
Fe: 0.750 0.750 0.750  3.16
Pt: 0.000 0.000 0.000  -0.02

=====

# 7
DFT (GGA-PBE) results for LaZr2W after structural relaxation.

E_tot: -8.37 eV/atom
Formation energy from the elements: 373.4 meV per atom
ρ: 8.7 g/cm³

Unit cell a=6.016 b=6.016 c=6.016 alpha=146.31 beta=126.42 gamma=64.80
Atoms (fractional coordinates):
La: 0.750 0.250 0.500
W: 0.250 0.750 0.500
Zr: 0.035 0.035 0.000
Zr: 0.465 0.465 0.000

=====

# 8
DFT (GGA-PBE) results for BaCoPS2 after structural relaxation.

E_tot: -3.15 eV/atom
Formation energy from raw total energies: 1.39 eV/atom
ρ: 2.3 g/cm³

Unit cell a=5.878 b=5.878 c=6.072 alpha=90.00 beta=90.00 gamma=90.00
Each line ends with the local moment (μB).
Atoms (fractional coordinates):
P: 0.000 0.000 0.500  0.80
S: 0.000 0.500 0.000  0.47
S: 0.500 0.000 0.000  0.47
Co: 0.500 0.500 0.500  -2.40
Ba: 0.000 0.000 0.000  0.04

=====

# 9
DFT (GGA-PBE) results for KCd2Cl2 after structural relaxation.

E_tot: -2.02 eV/atom
Formation energy from raw total energies: -0.70 eV/atom
ρ: 3.3 g/cm³

Unit cell a=8.964 b=8.964 c=4.242 alpha=90.00 beta=90.00 gamma=90.00
Atoms (fractional coordinates):
K: 0.000 0.000 0.000
K: 0.500 0.500 0.000
Cl: 0.246 0.746 0.500
Cl: 0.746 0.754 0.500
Cl: 0.754 0.254 0.500
Cl: 0.254 0.246 0.500
Cd: 0.392 0.892 0.000
Cd: 0.892 0.608 0.000
Cd: 0.608 0.108 0.000
Cd: 0.108 0.392 0.000

=====

# 10
DFT (GGA-PBE) results for DyCu2S2 after structural relaxation.

E_tot: -4.92 eV/atom
Formation energy from raw total energies: -0.71 eV/atom
ρ: 6.8 g/cm³

Unit cell a=6.384 b=6.384 c=5.969 alpha=117.40 beta=117.40 gamma=97.90
Atoms (fractional coordinates):
Dy: 0.126 0.874 0.250
Dy: 0.874 0.126 0.750
Cu: 0.777 0.523 0.552
Cu: 0.477 0.223 0.948
Cu: 0.523 0.777 0.052
Cu: 0.223 0.477 0.448
S: 0.412 0.588 0.250
S: 0.841 0.159 0.250
S: 0.159 0.841 0.750
S: 0.588 0.412 0.750

=====

# 11
DFT (GGA-PBE) results for FeRe2Si after structural relaxation.

E_tot: -9.70 eV/atom
Formation energy from raw total energies: -0.01 eV/atom
ρ: 14.0 g/cm³

Unit cell a=8.383 b=8.383 c=8.383 alpha=18.93 beta=18.93 gamma=18.93
Each line ends with the local moment (μB).
Atoms (fractional coordinates):
Fe: 0.755 0.755 0.755  1.50
Re: 0.003 0.003 0.003  0.06
Re: 0.247 0.247 0.247  0.00
Si: 0.495 0.495 0.495  -0.02

=====

# 12
DFT (GGA-PBE) results for KCaTa after structural relaxation.

E_tot: -4.32 eV/atom
Formation energy from the elements: 668.5 meV per atom
ρ: 3.7 g/cm³

Unit cell a=3.458 b=5.629 c=12.739 alpha=79.36 beta=106.02 gamma=89.98
Atoms (fractional coordinates):
K: 0.118 0.382 0.619
K: 0.349 0.993 0.350
Ca: 0.333 0.787 0.856
Ca: 0.095 0.587 0.113
Ta: 0.545 0.112 0.062
Ta: 0.887 0.262 0.907

=====

# 13
DFT (GGA-PBE) results for AcDy2YS4 after structural relaxation.

E_tot: -6.49 eV/atom
Formation energy from raw total energies: -1.96 eV/atom
ρ: 7.0 g/cm³

Unit cell a=3.963 b=6.998 c=6.986 alpha=71.13 beta=90.00 gamma=90.00
Atoms (fractional coordinates):
Ac: 0.500 0.500 0.000
Dy: 0.000 0.000 0.000
Dy: 0.500 0.000 0.500
Y: 0.000 0.500 0.500
S: 0.000 0.771 0.731
S: 0.000 0.229 0.269
S: 0.500 0.761 0.258
S: 0.500 0.239 0.742

=====

# 14
DFT (GGA-PBE) results for ZrCu2Sb after structural relaxation.

E_tot: -5.38 eV/atom
Formation energy from raw total energies: -0.17 eV/atom
ρ: 7.7 g/cm³

Unit cell a=4.140 b=4.140 c=5.482 alpha=67.80 beta=67.80 gamma=60.07
Atoms (fractional coordinates):
Cu: 0.968 0.968 0.095
Cu: 0.273 0.273 0.181
Sb: 0.524 0.524 0.427
Zr: 0.734 0.734 0.798

=====

# 15
DFT (GGA-PBE) results for ErZn6Cd6 after structural relaxation.

E_tot: -1.46 eV/atom
Formation energy from the elements: -94.2 meV per atom
ρ: 8.3 g/cm³

Unit cell a=5.580 b=7.200 c=7.200 alpha=82.40 beta=67.20 gamma=67.20
Atoms (fractional coordinates):
Er: 0.000 0.000 0.000
Zn: 0.000 0.500 0.000
Zn: 0.500 0.500 0.000
Zn: 0.000 0.000 0.500
Zn: 0.500 0.000 0.500
Zn: 0.500 0.772 0.228
Zn: 0.500 0.228 0.772
Cd: 0.344 0.656 0.656
Cd: 0.656 0.344 0.344
Cd: 0.000 0.344 0.656
Cd: 0.000 0.656 0.344
Cd: 0.306 0.194 0.194
Cd: 0.694 0.806 0.806

=====

# 16
DFT (GGA-PBE) results for SiSnP2 after structural relaxation.

E_tot: -4.58 eV/atom
Formation energy from raw total energies: 0.49 eV/atom
ρ: 3.3 g/cm³

Unit cell a=4.131 b=4.131 c=7.432 alpha=73.86 beta=73.86 gamma=60.00
Atoms (fractional coordinates):
P: 0.100 0.100 0.701
P: 0.900 0.900 0.299
Si: 0.000 0.000 0.000
Sn: 0.500 0.500 0.500

=====

# 17
DFT (GGA-PBE) results for AcMg2Au after structural relaxation.

E_tot: -2.93 eV/atom
Formation energy from the elements: -287.4 meV per atom
ρ: 7.6 g/cm³

Unit cell a=3.549 b=3.549 c=8.169 alpha=90.00 beta=90.00 gamma=90.00
Atoms (fractional coordinates):
Ac: 0.500 0.500 0.500
Au: 0.500 0.500 0.000
Mg: 0.000 0.000 0.820
Mg: 0.000 0.000 0.180

=====

# 18
DFT (GGA-PBE) results for Li2MnBe after structural relaxation.

E_tot: -3.74 eV/atom
Formation energy from the elements: 445.0 meV per atom
ρ: 2.5 g/cm³

Unit cell a=3.047 b=3.047 c=5.655 alpha=90.00 beta=90.00 gamma=90.00
Each line ends with the local moment (μB).
Atoms (fractional coordinates):
Be: 0.500 0.500 0.750  -0.04
Li: 0.000 0.000 0.974  -0.03
Li: 0.000 0.000 0.526  -0.03
Mn: 0.500 0.500 0.250  3.75

=====

# 19
DFT (GGA-PBE) results for Ac6GeRh2I2 after structural relaxation.

E_tot: -5.06 eV/atom
Formation energy from raw total energies: -0.78 eV/atom
ρ: 7.2 g/cm³

Unit cell a=7.748 b=7.748 c=8.616 alpha=98.16 beta=98.16 gamma=118.74
Atoms (fractional coordinates):
Ac: 0.708 0.708 0.691
Ac: 0.066 0.410 0.694
Ac: 0.292 0.292 0.309
Ac: 0.410 0.066 0.694
Ac: 0.934 0.590 0.306
Ac: 0.590 0.934 0.306
Ge: 0.000 0.000 0.500
Rh: 0.330 0.670 0.500
Rh: 0.670 0.330 0.500
I: 0.839 0.161 0.000
I: 0.161 0.839 0.000

=====

# 20
DFT (GGA-PBE) results for KLiSi2 after structural relaxation.

E_tot: -3.24 eV/atom
Formation energy from raw total energies: 0.22 eV/atom
ρ: 1.6 g/cm³

Unit cell a=4.769 b=4.769 c=9.928 alpha=76.10 beta=76.10 gamma=90.00
Atoms (fractional coordinates):
K: 0.000 0.000 0.000
K: 0.750 0.250 0.500
Si: 0.372 0.125 0.250
Si: 0.378 0.625 0.250
Si: 0.375 0.628 0.750
Si: 0.875 0.622 0.750
Li: 0.500 0.500 0.000
Li: 0.250 0.750 0.500

=====

# 21
DFT (GGA-PBE) results for KIn12Au4 after structural relaxation.

E_tot: -2.86 eV/atom
Formation energy from the elements: -92.2 meV per atom
ρ: 7.6 g/cm³

Unit cell a=8.541 b=8.541 c=8.541 alpha=109.47 beta=109.47 gamma=109.47
Atoms (fractional coordinates):
K: 0.000 0.000 0.000
In: 0.845 0.347 0.191
In: 0.347 0.502 0.155
In: 0.809 0.155 0.653
In: 0.347 0.191 0.845
In: 0.191 0.845 0.347
In: 0.653 0.498 0.845
In: 0.502 0.156 0.347
In: 0.498 0.844 0.653
In: 0.653 0.809 0.155
In: 0.844 0.653 0.498
In: 0.156 0.347 0.502
In: 0.156 0.653 0.809
Au: 0.000 0.500 0.000
Au: 0.500 0.000 0.000
Au: 0.500 0.500 0.500
Au: 0.000 0.000 0.500

=====

# 22
DFT (GGA-PBE) results for AcPuPdRh after structural relaxation.

E_tot: -8.21 eV/atom
Formation energy from the elements: -463.5 meV per atom
ρ: 11.9 g/cm³

Unit cell a=5.120 b=5.120 c=5.120 alpha=60.00 beta=60.00 gamma=60.00
Each line ends with the local moment (μB).
Atoms (fractional coordinates):
Ac: 0.750 0.750 0.750  0.06
Rh: 0.500 0.500 0.500  -0.21
Pd: 0.000 0.000 0.000  -0.03
Pu: 0.250 0.250 0.250  5.28

=====

# 23
DFT (GGA-PBE) results for CaIn2Cl after structural relaxation.

E_tot: -3.05 eV/atom
Formation energy from raw total energies: -0.71 eV/atom
ρ: 4.3 g/cm³

Unit cell a=5.167 b=5.167 c=6.680 alpha=81.23 beta=81.23 gamma=41.91
Atoms (fractional coordinates):
Ca: 0.513 0.513 0.596
Cl: 0.800 0.800 0.639
In: 0.964 0.964 0.051
In: 0.223 0.223 0.213

=====

# 24
DFT (GGA-PBE) results for PrGa3Cu8 after structural relaxation.

E_tot: -3.97 eV/atom
Formation energy from the elements: -85.0 meV per atom
ρ: 7.9 g/cm³

Unit cell a=4.957 b=4.957 c=8.447 alpha=90.00 beta=90.00 gamma=120.00
Atoms (fractional coordinates):
Pr: 0.000 0.000 0.569
Ga: 0.667 0.333 0.394
Ga: 0.667 0.333 0.054
Ga: 0.000 0.000 0.950
Cu: 0.333 0.667 0.492
Cu: 0.333 0.667 0.005
Cu: 0.502 0.004 0.770
Cu: 0.502 0.498 0.770
Cu: 0.996 0.498 0.770
Cu: 0.165 0.329 0.242
Cu: 0.165 0.835 0.242
Cu: 0.671 0.835 0.242

=====

# 25
DFT (GGA-PBE) results for CdPH after structural relaxation.

E_tot: -3.00 eV/atom
ρ: 4.8 g/cm³

Unit cell a=2.957 b=4.292 c=4.364 alpha=75.60 beta=91.15 gamma=70.06
Atoms (fractional coordinates):
Cd: 0.036 0.932 0.241
P: 0.794 0.420 0.674
H: 0.681 0.665 0.862

=====

# 26
DFT (GGA-PBE) results for CdCo5 after structural relaxation.

E_tot: -5.86 eV/atom
Formation energy from the elements: 212.6 meV per atom
ρ: 9.0 g/cm³

Unit cell a=4.927 b=4.927 c=6.154 alpha=73.12 beta=73.12 gamma=31.67
Each line ends with the local moment (μB).
Atoms (fractional coordinates):
Cd: 0.981 0.981 0.028  -0.05
Co: 0.641 0.641 0.268  1.70
Co: 0.320 0.320 0.387  1.65
Co: 0.957 0.957 0.587  1.73
Co: 0.660 0.660 0.666  1.65
Co: 0.275 0.275 0.897  1.62